Density functional theory data (GGA-PBE) for a geometry-optimized ErMg3In structure.

```
data_ErMg3In
_chemical_formula_sum 'Er4 Mg12 In4'
_cell_length_a 5.0042
_cell_length_b 28.5633
_cell_length_c 3.5693
_cell_angle_alpha 90.00
_cell_angle_beta 90.00
_cell_angle_gamma 90.00
_space_group_name_H-M_alt 'C m m m'
_space_group_IT_number 65
_space_group_name_Hall '-C 2 2'
loop_
_atom_site_label
_atom_site_fract_x
_atom_site_fract_y
_atom_site_fract_z
Er1 0.0000 0.1662 0.0000
Mg1 0.0000 0.0611 0.5000
Mg2 0.0000 0.2715 0.5000
Mg3 0.0000 0.4504 0.0000
In1 0.0000 0.3698 0.5000
```

Computed properties:
Density of states at the Fermi level, states/eV/cell: 13.227
Formation energy, eV/atom: -0.063